# KGa | the Alexandria database | PBE | relaxed
# Density of states at the Fermi level (states/eV/atom): 0.461
# Relative energy among the computed polymorphs (meV per atom): 41.8
# Size of the total moment (μB per cell): 0.00
data_KGa
_cell_length_a 10.074
_cell_length_b 4.541
_cell_length_c 6.465
_cell_angle_alpha 90.00
_cell_angle_beta 90.00
_cell_angle_gamma 90.00
_space_group_name_H-M_alt 'P n m a'
_space_group_IT_number 62
loop_
_space_group_symop_operation_xyz
'x,y,z'
'-x,-y,-z'
'-x+1/2,-y,z+1/2'
'x+1/2,y,-z+1/2'
'x+1/2,-y+1/2,-z+1/2'
'-x+1/2,y+1/2,z+1/2'
'-x,y+1/2,-z'
'x,-y+1/2,z'
loop_
_atom_site_label
_atom_site_fract_x
_atom_site_fract_y
_atom_site_fract_z
_atom_site_occupancy
K1 0.175 0.250 0.073 1
Ga1 0.016 0.250 0.569 1



# NaPt2Pb | the Alexandria database | PBE | relaxed
# Density of states at the Fermi level (states/eV/atom): 0.583
# Size of the total moment (μB per cell): 0.00
data_NaPt2Pb
_cell_length_a 7.729
_cell_length_b 7.729
_cell_length_c 5.720
_cell_angle_alpha 90.00
_cell_angle_beta 90.00
_cell_angle_gamma 90.00
_space_group_name_H-M_alt 'I -4 2 d'
_space_group_IT_number 122
_space_group_name_Hall 'I -4 2bw'
loop_
_atom_site_label
_atom_site_fract_x
_atom_site_fract_y
_atom_site_fract_z
_atom_site_occupancy
Na1 0.000 0.000 0.000 1
Pt1 0.234 0.250 0.625 1
Pb1 0.000 0.000 0.500 1



# ScVAs3 | the Alexandria database | PBE | relaxed
# Density of states at the Fermi level (states/eV/atom): 1.412
# Relative energy among the computed polymorphs (meV per atom): 584.2
# Size of the total moment (μB per cell): 3.66
data_ScVAs3
_cell_length_a 5.025
_cell_length_b 5.025
_cell_length_c 5.025
_cell_angle_alpha 90.00
_cell_angle_beta 90.00
_cell_angle_gamma 90.00
_space_group_name_H-M_alt 'P m -3 m'
_space_group_IT_number 221
_space_group_name_Hall '-P 4 2 3'
loop_
_atom_site_label
_atom_site_fract_x
_atom_site_fract_y
_atom_site_fract_z
_atom_site_occupancy
Sc1 0.000 0.000 0.000 1
V1 0.500 0.500 0.500 1
As1 0.000 0.000 0.500 1



# Pr6Pt2SeBr3 | the Alexandria database | PBE | relaxed
# Density of states at the Fermi level (states/eV/atom): 0.784
# Energy relative to the elements, uncorrected (eV/atom): -1.3227
# Size of the total moment (μB per cell): 0.00
data_Pr6Pt2SeBr3
_cell_length_a 7.554
_cell_length_b 13.022
_cell_length_c 7.834
_cell_angle_alpha 90.00
_cell_angle_beta 108.64
_cell_angle_gamma 90.00
_space_group_name_H-M_alt 'C 1 2/m 1'
_space_group_IT_number 12
loop_
_space_group_symop_operation_xyz
'x,y,z'
'-x,-y,-z'
'-x,y,-z'
'x,-y,z'
'x+1/2,y+1/2,z'
'-x+1/2,-y+1/2,-z'
'-x+1/2,y+1/2,-z'
'x+1/2,-y+1/2,z'
loop_
_atom_site_label
_atom_site_fract_x
_atom_site_fract_y
_atom_site_fract_z
_atom_site_occupancy
Pr1 0.215 0.000 0.204 1
Pr2 0.247 0.323 0.207 1
Pt1 0.000 0.167 0.000 1
Se1 0.000 0.500 0.000 1
Br1 0.000 0.000 0.500 1
Br2 0.000 0.342 0.500 1



# MnCdRu2 | the Alexandria database | PBE | relaxed
# Density of states at the Fermi level (states/eV/atom): 1.146
# Size of the total moment (μB per cell): 8.91
data_MnCdRu2
_cell_length_a 2.942
_cell_length_b 4.644
_cell_length_c 9.147
_cell_angle_alpha 90.00
_cell_angle_beta 90.00
_cell_angle_gamma 90.00
_space_group_name_H-M_alt 'C m m 2'
_space_group_IT_number 35
loop_
_space_group_symop_operation_xyz
'x,y,z'
'-x,-y,z'
'-x,y,z'
'x,-y,z'
'x+1/2,y+1/2,z'
'-x+1/2,-y+1/2,z'
'-x+1/2,y+1/2,z'
'x+1/2,-y+1/2,z'
loop_
_atom_site_label
_atom_site_fract_x
_atom_site_fract_y
_atom_site_fract_z
_atom_site_occupancy
Mn1 0.000 0.000 0.000 1
Cd1 0.000 0.500 0.732 1
Ru1 0.000 0.000 0.461 1
Ru2 0.000 0.500 0.222 1



# LiAc2N | the Alexandria database | PBE | relaxed
# Density of states at the Fermi level (states/eV/atom): 0.861
# Relative energy among the computed polymorphs (meV per atom): 90.1
# Energy relative to the elements, uncorrected (eV/atom): -0.4330
# Size of the total moment (μB per cell): 0.00
data_LiAc2N
_cell_length_a 3.8226
_cell_length_b 3.8226
_cell_length_c 28.0520
_cell_angle_alpha 90.00
_cell_angle_beta 90.00
_cell_angle_gamma 120.00
_space_group_name_H-M_alt 'R 3 m'
_space_group_IT_number 160
_space_group_name_Hall 'R 3 -2"'
loop_
_atom_site_label
_atom_site_fract_x
_atom_site_fract_y
_atom_site_fract_z
_atom_site_occupancy
Li1 0.0000 0.0000 0.0000 1
Ac1 0.0000 0.0000 0.2219 1
Ac2 0.0000 0.0000 0.4483 1
N1 0.0000 0.0000 0.8335 1



# Cd7P10 | the Alexandria database | PBE | relaxed
# Size of the total moment (μB per cell): 0.00
data_Cd7P10
_cell_length_a 23.105
_cell_length_b 27.768
_cell_length_c 4.737
_cell_angle_alpha 90.00
_cell_angle_beta 90.00
_cell_angle_gamma 90.00
_space_group_name_H-M_alt 'F d d 2'
_space_group_IT_number 43
_space_group_name_Hall 'F 2 -2d'
loop_
_atom_site_label
_atom_site_fract_x
_atom_site_fract_y
_atom_site_fract_z
_atom_site_occupancy
Cd1 0.000 0.000 0.027 1
Cd2 0.003 0.202 0.500 1
Cd3 0.118 0.289 0.677 1
Cd4 0.119 0.418 0.305 1
P1 0.034 0.134 0.859 1
P2 0.036 0.064 0.659 1
P3 0.042 0.436 0.889 1
P4 0.044 0.370 0.634 1
P5 0.083 0.248 0.225 1



# CsAs3Se | the Alexandria database | PBE | relaxed
# Density of states at the Fermi level (states/eV/atom): 1.460
# Relative energy among the computed polymorphs (meV per atom): 0.0
# Energy relative to the elements, uncorrected (eV/atom): 0.4601
# Size of the total moment (μB per cell): 0.00
data_CsAs3Se
_cell_length_a 5.283
_cell_length_b 5.283
_cell_length_c 5.283
_cell_angle_alpha 90.00
_cell_angle_beta 90.00
_cell_angle_gamma 90.00
_space_group_name_H-M_alt 'P m -3 m'
_space_group_IT_number 221
_space_group_name_Hall '-P 4 2 3'
loop_
_atom_site_label
_atom_site_fract_x
_atom_site_fract_y
_atom_site_fract_z
_atom_site_occupancy
Cs1 0.000 0.000 0.000 1
As1 0.000 0.500 0.500 1
Se1 0.500 0.500 0.500 1



# AlRhPb | the Alexandria database | PBE | relaxed
# Density of states at the Fermi level (states/eV/atom): 0.618
# Relative energy among the computed polymorphs (meV per atom): 46.5
# Size of the total moment (μB per cell): 0.00
data_AlRhPb
_cell_length_a 6.299
_cell_length_b 6.299
_cell_length_c 6.299
_cell_angle_alpha 90.00
_cell_angle_beta 90.00
_cell_angle_gamma 90.00
_space_group_name_H-M_alt 'F -4 3 m'
_space_group_IT_number 216
_space_group_name_Hall 'F -4 2 3'
loop_
_atom_site_label
_atom_site_fract_x
_atom_site_fract_y
_atom_site_fract_z
_atom_site_occupancy
Al1 0.000 0.000 0.000 1
Rh1 0.250 0.250 0.750 1
Pb1 0.000 0.000 0.500 1



# Tb6SmEr3Th2 | the Alexandria database | PBE | relaxed
# Density of states at the Fermi level (states/eV/atom): 1.418
# Size of the total moment (μB per cell): 0.00
data_Tb6SmEr3Th2
_cell_length_a 6.172
_cell_length_b 10.678
_cell_length_c 11.779
_cell_angle_alpha 90.00
_cell_angle_beta 100.05
_cell_angle_gamma 90.00
_space_group_name_H-M_alt 'C 1 2/m 1'
_space_group_IT_number 12
loop_
_space_group_symop_operation_xyz
'x,y,z'
'-x,-y,-z'
'-x,y,-z'
'x,-y,z'
'x+1/2,y+1/2,z'
'-x+1/2,-y+1/2,-z'
'-x+1/2,y+1/2,-z'
'x+1/2,-y+1/2,z'
loop_
_atom_site_label
_atom_site_fract_x
_atom_site_fract_y
_atom_site_fract_z
_atom_site_occupancy
Tb1 0.246 0.000 0.250 1
Tb2 0.248 0.169 0.750 1
Sm1 0.000 0.500 0.000 1
Er1 0.000 0.000 0.500 1
Er2 0.000 0.334 0.500 1
Th1 0.000 0.167 0.000 1



# Ce2Nd3ErAs6 | the Alexandria database | PBE | relaxed
# Density of states at the Fermi level (states/eV/atom): 0.971
# Size of the total moment (μB per cell): 2.24
data_Ce2Nd3ErAs6
_cell_length_a 7.306
_cell_length_b 12.653
_cell_length_c 7.318
_cell_angle_alpha 90.00
_cell_angle_beta 109.45
_cell_angle_gamma 90.00
_space_group_name_H-M_alt 'C 1 2/m 1'
_space_group_IT_number 12
loop_
_space_group_symop_operation_xyz
'x,y,z'
'-x,-y,-z'
'-x,y,-z'
'x,-y,z'
'x+1/2,y+1/2,z'
'-x+1/2,-y+1/2,-z'
'-x+1/2,y+1/2,-z'
'x+1/2,-y+1/2,z'
loop_
_atom_site_label
_atom_site_fract_x
_atom_site_fract_y
_atom_site_fract_z
_atom_site_occupancy
Ce1 0.000 0.166 0.000 1
Nd1 0.000 0.000 0.500 1
Nd2 0.000 0.333 0.500 1
Er1 0.000 0.500 0.000 1
As1 0.246 0.334 0.241 1
As2 0.250 0.000 0.243 1



# Pr8Si3S4O | the Alexandria database | PBE | relaxed
# Density of states at the Fermi level (states/eV/atom): 0.236
# Energy relative to the elements, uncorrected (eV/atom): -1.5599
# Size of the total moment (μB per cell): 0.00
data_Pr8Si3S4O
_cell_length_a 8.2734
_cell_length_b 8.2734
_cell_length_c 20.4497
_cell_angle_alpha 90.00
_cell_angle_beta 90.00
_cell_angle_gamma 120.00
_space_group_name_H-M_alt 'R -3 m'
_space_group_IT_number 166
_space_group_name_Hall '-R 3 2"'
loop_
_atom_site_label
_atom_site_fract_x
_atom_site_fract_y
_atom_site_fract_z
_atom_site_occupancy
Pr1 0.0000 0.0000 0.2490 1
Pr2 0.0106 0.5053 0.7462 1
Si1 0.0000 0.5000 0.0000 1
S1 0.0000 0.0000 0.5000 1
S2 0.0000 0.5000 0.5000 1
O1 0.0000 0.0000 0.0000 1



Energy across the listed records, respectively: -2.126 -4.177 -5.337 -5.428 -6.716 -5.047 -3.630 -3.197 -5.149 -5.054 -6.372 -6.308 eV/atom.